First-principles (PBE+U) data for a geometry-optimized TaBiMoO6 structure, as listed in Alexandria via LeMat-Bulk.

Cell and atoms, written as POSCAR:
```
TaBiMoO6
1.0
4.968 0.000 0.000
0.000 4.968 0.000
0.000 0.000 9.893
Ta Bi Mo O
2 2 2 12
Direct
0.000 0.000 0.000
0.500 0.500 0.500
0.000 0.000 0.665
0.500 0.500 0.165
0.000 0.000 0.336
0.500 0.500 0.836
0.173 0.173 0.163
0.209 0.209 0.858
0.216 0.216 0.483
0.284 0.716 0.983
0.291 0.709 0.358
0.327 0.673 0.663
0.673 0.327 0.663
0.709 0.291 0.358
0.716 0.284 0.983
0.784 0.784 0.483
0.791 0.791 0.858
0.827 0.827 0.163
```

Calculated values
VASP energy in eV per atom: -7.83
Size of the total moment in μB/atom: 0.22